Record 1
VASP calculation (PBE-GGA) on a geometry-optimized As2AuO6 structure.

```
As2AuO6
1.0
4.4552 -0.7135 -2.0489
-3.3713 8.5019 -0.0349
-0.5350 -0.1052 9.1297
O As Au
12 4 2
direct
0.7785 0.7275 0.6421
0.2173 0.0045 0.2008
0.7179 0.4463 0.7863
0.2179 0.7863 0.4463
0.2785 0.6421 0.7275
0.7827 0.9955 0.7992
0.2827 0.7992 0.9955
0.2215 0.2725 0.3579
0.7821 0.2137 0.5537
0.2821 0.5537 0.2137
0.7173 0.2008 0.0045
0.7215 0.3579 0.2725
0.0140 0.6489 0.8063
0.9860 0.3511 0.1937
0.4860 0.1937 0.3511
0.5140 0.8063 0.6489
0.7500 0.2207 0.7793
0.2500 0.7793 0.2207
```

Computed properties:
Magnetization = 0.112 μB/atom
Raw total energy = -5.462 eV/atom
DOS at the Fermi energy = 0.40 states/eV per cell
Formation energy without anion corrections = -0.759 eV/atom
Offset from the most stable computed form = 0.000 eV/f.u.

Record 2
VASP calculation (PBE-GGA) on a geometry-optimized RbBiTe2N structure.

```
RbBiTe2N
1.0
6.1541 0.0000 0.0000
0.0000 6.1541 0.0000
0.0000 0.0000 4.7804
Bi Te N Rb
1 2 1 1
direct
0.0000 0.0000 0.0000
0.0000 0.5000 0.0000
0.5000 0.0000 0.0000
0.0000 0.0000 0.5000
0.5000 0.5000 0.5000
```

Computed properties:
Magnetization = 0.529 μB/atom
Raw total energy = -3.445 eV/atom
DOS at the Fermi energy = 4.22 states/eV per cell
Formation energy without anion corrections = 0.446 eV/atom
Offset from the most stable computed form = 0.000 eV/f.u.

Record 3
VASP calculation (PBE-GGA) on a geometry-optimized SiSnIrPt2 structure.

```
SiSnIrPt2
1.0
-1.8137 1.2387 4.4132
-2.6500 -4.1871 0.0861
3.7500 -2.3282 2.1947
Sn Pt Si Ir
1 2 1 1
direct
0.0000 0.5000 0.0000
0.0000 0.0000 0.5000
0.5000 0.0000 0.0000
0.5000 0.5000 0.5000
0.0000 0.0000 0.0000
```

Computed properties:
Magnetization = 0.000 μB/atom
Raw total energy = -4.988 eV/atom
DOS at the Fermi energy = 7.78 states/eV per cell
Formation energy without anion corrections = 1.086 eV/atom

Record 4
VASP calculation (PBE-GGA) on a geometry-optimized CaAuNO2 structure.

```
CaAuNO2
1.0
4.3023 0.0000 0.0000
0.0000 4.3023 0.0000
0.0000 0.0000 3.8034
O N Au Ca
2 1 1 1
direct
0.5000 0.0000 0.0000
0.0000 0.5000 0.0000
0.0000 0.0000 0.5000
0.0000 0.0000 0.0000
0.5000 0.5000 0.5000
```

Computed properties:
Magnetization = 0.132 μB/atom
Raw total energy = -4.872 eV/atom
DOS at the Fermi energy = 1.52 states/eV per cell
Formation energy without anion corrections = -0.168 eV/atom

Record 5
VASP calculation (PBE-GGA) on a geometry-optimized AlHgSb4 structure.

```
AlHgSb4
1.0
2.3465 2.0992 5.4170
-3.0124 4.4678 3.1970
-2.8539 -1.3953 5.4004
Sb Hg Al
4 1 1
direct
0.3753 0.3753 0.8740
0.3753 0.8740 0.3753
0.8740 0.3753 0.3753
0.3753 0.3753 0.3753
0.0000 0.0000 0.0000
0.7500 0.7500 0.7500
```

Computed properties:
Magnetization = 0.000 μB/atom
Raw total energy = -3.101 eV/atom
DOS at the Fermi energy = 0.99 states/eV per cell
Formation energy without anion corrections = 0.321 eV/atom

Record 6
VASP calculation (PBE-GGA) on a geometry-optimized MoPRh2 structure.

```
MoPRh2
1.0
-1.5175 2.1217 4.3031
1.5175 -2.1217 4.3031
1.5175 2.1217 -4.3031
Mo P Rh
1 1 2
direct
0.0000 0.5000 0.5000
0.5000 0.0000 0.5000
0.2837 0.2837 0.0000
0.7163 0.7163 0.0000
```

Computed properties:
Magnetization = 0.000 μB/atom
Raw total energy = -8.087 eV/atom
Energy of formation from the pure elements = -0.35 eV/atom
DOS at the Fermi energy = 3.03 states/eV per cell

Record 7
VASP calculation (PBE-GGA) on a geometry-optimized SmDy4Y2Sc structure.

```
SmDy4Y2Sc
1.0
-4.6683 -0.1357 -1.7415
-1.7330 -0.2228 4.6627
-2.1413 9.7464 4.9801
Y Dy Sm Sc
2 4 1 1
direct
0.5000 0.0000 0.5000
0.0000 0.0000 0.0000
0.5000 0.7440 0.2559
0.5000 0.2560 0.7441
0.0000 0.7561 0.7439
0.0000 0.2439 0.2561
0.5000 0.5000 0.0000
0.0000 0.5000 0.5000
```

Computed properties:
Magnetization = 0.000 μB/atom
Raw total energy = -5.264 eV/atom
Energy of formation from the pure elements = 0.03 eV/atom
DOS at the Fermi energy = 12.07 states/eV per cell

Record 8
VASP calculation (PBE-GGA) on a geometry-optimized Sc5Co2 structure.

```
Sc5Co2
1.0
5.9019 0.0000 0.0000
0.0000 6.4409 0.0652
-2.9509 -0.9114 7.2524
Sc Co
10 4
direct
0.5725 0.2500 0.0000
0.7882 0.5842 0.8135
0.0253 0.0842 0.8135
0.2148 0.6851 0.5617
0.7852 0.3149 0.4383
0.2118 0.4158 0.1865
0.4275 0.7500 0.0000
0.3469 0.1851 0.5617
0.6531 0.8149 0.4383
0.9747 0.9158 0.1865
0.8271 0.5695 0.2211
0.1729 0.4305 0.7789
0.6060 0.9305 0.7789
0.3940 0.0695 0.2211
```

Computed properties:
Magnetization = 0.000 μB/atom
Raw total energy = -6.802 eV/atom
Energy of formation from the pure elements = -0.25 eV/atom
DOS at the Fermi energy = 16.55 states/eV per cell

Record 9
VASP calculation (PBE-GGA) on a geometry-optimized NaHf structure.

```
NaHf
1.0
-7.7819 -9.2003 -3.3075
4.5992 0.2854 -11.6150
2.1789 -2.1343 0.8103
Hf Na
8 8
direct
0.3808 0.3808 0.0000
0.5000 0.2133 0.5000
0.6192 0.3808 0.0000
0.2133 0.5000 0.5000
0.6192 0.6192 0.0000
0.3808 0.6192 0.0000
0.7867 0.5000 0.5000
0.5000 0.7867 0.5000
0.7863 0.7863 0.5000
0.2137 0.2137 0.5000
0.6381 0.0000 0.0000
0.2137 0.7863 0.5000
0.3619 0.0000 0.0000
0.0000 0.6381 0.0000
0.0000 0.3619 0.0000
0.7863 0.2137 0.5000
```

Computed properties:
Magnetization = 0.000 μB/atom
Raw total energy = -5.219 eV/atom
Energy of formation from the pure elements = 0.42 eV/atom
DOS at the Fermi energy = 15.20 states/eV per cell
Offset from the most stable computed form = 0.000 eV/f.u.

Record 10
VASP calculation (PBE-GGA) on a geometry-optimized SrLi4Hg structure.

```
SrLi4Hg
1.0
-4.3566 -3.0854 -2.1747
0.8093 -5.5285 -1.4176
-2.4335 -4.1692 3.1503
Li Hg Sr
4 1 1
direct
0.6279 0.6279 0.6279
0.6279 0.1162 0.6279
0.6279 0.6279 0.1162
0.1162 0.6279 0.6279
0.0000 0.0000 0.0000
0.2500 0.2500 0.2500
```

Computed properties:
Magnetization = 0.000 μB/atom
Raw total energy = -1.717 eV/atom
Energy of formation from the pure elements = -0.11 eV/atom
DOS at the Fermi energy = 5.67 states/eV per cell
Offset from the most stable computed form = 0.303 eV/f.u.